Entry 1:
Crystalline AlAsWBr2 at its relaxed geometry, computed with GGA-PBE.

Computed properties:
Energy = -3.9239 eV/atom
Formation energy from raw total energies = 1.0143 eV/atom
Space group = No. 123
Theoretical density = 6.0 Mg/m³
Spin magnetization = 3.76 μB/cell

Cell lengths 4.841, 4.841, 5.275 Å; angles 90.00, 90.00, 90.00 degrees
Site moments in Bohr magnetons follow the coordinates.
Element x y z (fractional)
Al 0.000 0.000 0.000  0.01
As 0.000 0.000 0.500  -0.28
Br 0.500 0.000 0.000  0.00
Br 0.000 0.500 0.000  0.00
W 0.500 0.500 0.500  3.17

***

Entry 2:
Crystalline AlAsWBr2 at its relaxed geometry, computed with GGA-PBE.

Computed properties:
Energy = -4.4422 eV/atom
Formation energy from raw total energies = 0.4960 eV/atom
Space group = No. 123
Theoretical density = 5.3 Mg/m³
Spin magnetization = 1.72 μB/cell

Cell lengths 5.343, 5.343, 4.875 Å; angles 90.00, 90.00, 90.00 degrees
Site moments in Bohr magnetons follow the coordinates.
Element x y z (fractional)
W 0.000 0.000 0.000  1.45
Br 0.000 0.500 0.000  0.03
Br 0.500 0.000 0.000  0.03
Al 0.500 0.500 0.500  0.00
As 0.000 0.000 0.500  -0.10

***

Entry 3:
Crystalline AlAs2WBr at its relaxed geometry, computed with GGA-PBE.

Computed properties:
Energy = -4.3376 eV/atom
Formation energy from raw total energies = 1.1960 eV/atom
Space group = No. 123
Theoretical density = 6.5 Mg/m³
Spin magnetization = 2.98 μB/cell

Cell lengths 4.824, 4.824, 4.870 Å; angles 90.00, 90.00, 90.00 degrees
Site moments in Bohr magnetons follow the coordinates.
Element x y z (fractional)
As 0.500 0.000 0.000  -0.17
As 0.000 0.500 0.000  -0.17
Br 0.000 0.000 0.500  -0.07
Al 0.000 0.000 0.000  0.01
W 0.500 0.500 0.500  2.77

***

Entry 4:
Crystalline YAlAs2Br at its relaxed geometry, computed with GGA-PBE.

Computed properties:
Energy = -4.5385 eV/atom
Formation energy from raw total energies = -0.3027 eV/atom
Space group = No. 123
Theoretical density = 4.8 Mg/m³
Spin magnetization = 0.00 μB/cell

Cell lengths 4.875, 4.875, 5.080 Å; angles 90.00, 90.00, 90.00 degrees
Element x y z (fractional)
As 0.500 0.000 0.000
As 0.000 0.500 0.000
Br 0.000 0.000 0.500
Y 0.500 0.500 0.500
Al 0.000 0.000 0.000

***

Entry 5:
Crystalline YAlAs2Br at its relaxed geometry, computed with GGA-PBE.

Computed properties:
Energy = -4.1786 eV/atom
Formation energy from raw total energies = 0.0571 eV/atom
Space group = No. 123
Theoretical density = 3.4 Mg/m³
Spin magnetization = 0.60 μB/cell

Cell lengths 5.497, 5.497, 5.554 Å; angles 90.00, 90.00, 90.00 degrees
Site moments in Bohr magnetons follow the coordinates.
Element x y z (fractional)
Br 0.000 0.000 0.500  0.05
As 0.000 0.500 0.000  0.12
As 0.500 0.000 0.000  0.12
Al 0.500 0.500 0.500  0.01
Y 0.000 0.000 0.000  0.00

***

Entry 6:
Crystalline AlZnAsBr2 at its relaxed geometry, computed with GGA-PBE.

Computed properties:
Energy = -2.5643 eV/atom
Formation energy from raw total energies = 0.0381 eV/atom
Space group = No. 123
Theoretical density = 4.1 Mg/m³
Spin magnetization = 0.93 μB/cell

Cell lengths 5.035, 5.035, 5.189 Å; angles 90.00, 90.00, 90.00 degrees
Site moments in Bohr magnetons follow the coordinates.
Element x y z (fractional)
Br 0.500 0.000 0.000  0.04
Br 0.000 0.500 0.000  0.04
Al 0.000 0.000 0.000  0.01
As 0.000 0.000 0.500  0.36
Zn 0.500 0.500 0.500  0.00

***

Entry 7:
Crystalline ZrAlAs2Br at its relaxed geometry, computed with GGA-PBE.

Computed properties:
Energy = -4.4096 eV/atom
Formation energy from raw total energies = 0.2429 eV/atom
Space group = No. 123
Theoretical density = 5.0 Mg/m³
Spin magnetization = 0.00 μB/cell

Cell lengths 4.853, 4.853, 4.862 Å; angles 90.00, 90.00, 90.00 degrees
Element x y z (fractional)
Zr 0.500 0.500 0.500
As 0.000 0.500 0.000
As 0.500 0.000 0.000
Al 0.000 0.000 0.000
Br 0.000 0.000 0.500

***

Entry 8:
Crystalline ZrAlAs2Br at its relaxed geometry, computed with GGA-PBE.

Computed properties:
Energy = -4.6286 eV/atom
Formation energy from raw total energies = 0.0239 eV/atom
Space group = No. 123
Theoretical density = 3.9 Mg/m³
Spin magnetization = 0.00 μB/cell

Cell lengths 5.198, 5.198, 5.482 Å; angles 90.00, 90.00, 90.00 degrees
Element x y z (fractional)
Br 0.000 0.000 0.500
As 0.500 0.000 0.000
As 0.000 0.500 0.000
Al 0.500 0.500 0.500
Zr 0.000 0.000 0.000

***

Entry 9:
Crystalline AlAs2C at its relaxed geometry, computed with GGA-PBE.

Computed properties:
Energy = -4.2187 eV/atom
Space group = No. 225
Theoretical density = 5.1 Mg/m³
Spin magnetization = 0.00 μB/cell

Cell lengths 4.420, 4.420, 4.420 Å; angles 60.00, 60.00, 60.00 degrees
Element x y z (fractional)
As 0.750 0.750 0.750
As 0.250 0.250 0.250
C 0.000 0.000 0.000
Al 0.500 0.500 0.500

***

Entry 10:
Crystalline AlAs2C at its relaxed geometry, computed with GGA-PBE.

Computed properties:
Energy = -4.9591 eV/atom
Space group = No. 122
Theoretical density = 4.5 Mg/m³
Spin magnetization = 0.00 μB/cell

Cell lengths 5.578, 5.578, 5.958 Å; angles 62.09, 62.09, 90.00 degrees
Element x y z (fractional)
As 0.563 0.125 0.250
As 0.187 0.625 0.250
As 0.875 0.813 0.750
As 0.375 0.437 0.750
C 0.500 0.500 0.000
C 0.250 0.750 0.500
Al 0.000 0.000 0.000
Al 0.750 0.250 0.500

***

Entry 11:
Crystalline AlCdAsC2 at its relaxed geometry, computed with GGA-PBE.

Computed properties:
Energy = -3.1380 eV/atom
Space group = No. 123
Theoretical density = 4.0 Mg/m³
Spin magnetization = 1.48 μB/cell

Cell lengths 4.172, 5.647, 4.172 Å; angles 90.00, 90.00, 90.00 degrees
Site moments in Bohr magnetons follow the coordinates.
Element x y z (fractional)
C 0.000 0.000 0.500  0.34
C 0.500 0.000 0.000  0.40
As 0.000 0.500 0.000  -0.02
Cd 0.000 0.000 0.000  0.03
Al 0.500 0.500 0.500  0.01

***

Entry 12:
Crystalline CsAlAs2C at its relaxed geometry, computed with GGA-PBE.

Computed properties:
Energy = -1.7460 eV/atom
Space group = No. 123
Theoretical density = 2.4 Mg/m³
Spin magnetization = 0.46 μB/cell

Cell lengths 5.923, 6.476, 5.923 Å; angles 90.00, 90.00, 90.00 degrees
Site moments in Bohr magnetons follow the coordinates.
Element x y z (fractional)
As 0.000 0.000 0.500  -0.45
As 0.500 0.000 0.000  -0.34
Cs 0.000 0.000 0.000  -0.01
C 0.500 0.500 0.500  0.98
Al 0.000 0.500 0.000  0.03